(1)
The following is a DFT calculation (meta-GGA SCAN) of a PBEsol-optimized structure of SrCaVP2O8.

Lattice parameters (Å, degrees): 5.639 6.851 9.405 109.65 100.71 98.51
Fractional positions:
Sr: 0.234 0.195 0.437
Sr: 0.766 0.805 0.563
Ca: 0.483 0.576 0.836
Ca: 0.517 0.424 0.164
V: 0.156 0.851 0.062
V: 0.844 0.149 0.938
P: 0.119 0.584 0.279
P: 0.338 0.033 0.798
P: 0.662 0.967 0.202
P: 0.881 0.416 0.721
O: 0.091 0.413 0.113
O: 0.110 0.455 0.659
O: 0.131 0.971 0.876
O: 0.163 0.806 0.268
O: 0.228 0.011 0.632
O: 0.355 0.561 0.382
O: 0.466 0.107 0.200
O: 0.496 0.263 0.906
O: 0.504 0.737 0.094
O: 0.534 0.893 0.800
O: 0.645 0.439 0.618
O: 0.772 0.989 0.368
O: 0.837 0.194 0.732
O: 0.869 0.029 0.124
O: 0.890 0.545 0.341
O: 0.909 0.587 0.887

Density of states at the Fermi level ... 0.00 states/eV/f.u.
Calculated density ... 3.7 g/cm³
DFT total energy ... -316.705 eV/cell
Formation energy from raw total energies ... -284.1 kJ/mol of atoms

(2)
The following is a DFT calculation (meta-GGA SCAN) of a PBEsol-optimized structure of CaTaP2O.

Lattice parameters (Å, degrees): 4.792 4.792 3.801 90.00 90.00 90.00
Fractional positions:
Ca: 0.000 0.000 0.000
Ta: 0.500 0.500 0.000
P: 0.000 0.500 0.500
P: 0.500 0.000 0.500
O: 0.500 0.500 0.500

Density of states at the Fermi level ... 3.07 states/eV/f.u.
Calculated density ... 5.7 g/cm³
DFT total energy ... -104.859 eV/cell
Formation energy from raw total energies ... -30.6 kJ/mol of atoms

(3)
The following is a DFT calculation (meta-GGA SCAN) of a PBEsol-optimized structure of CaTcP2O.

Lattice parameters (Å, degrees): 5.035 5.035 3.943 90.00 90.00 90.00
Fractional positions:
Ca: 0.000 0.000 0.000
Tc: 0.500 0.500 0.500
P: 0.000 0.500 0.000
P: 0.500 0.000 0.000
O: 0.000 0.000 0.500

Density of states at the Fermi level ... 3.34 states/eV/f.u.
Calculated density ... 3.6 g/cm³
DFT total energy ... -66.918 eV/cell
Formation energy from raw total energies ... 93.3 kJ/mol of atoms

Question: DFT total energy of number 2 (CaTaP2O)?
Answer: -104.859 eV/cell

Question: What is the formation energy from raw total energies in the third record?
Answer: 93.3 kJ/mol of atoms